Entry from Alexandria via LeMat-Bulk: a geometry-optimized MnAlWO6 structure (PBE with a Hubbard U).

Its energy is -7.404 eV per atom. The value obtained for the density of states at the Fermi level is 5.27 states/eV/cell.

The space group is P-31c (No. 163) and the conventional cell measures 5.0051, 5.0051 and 8.9080 Å, with angles of 90.00, 90.00 and 120.00 degrees. Symmetry generates all atoms from Mn at (0.0000, 0.0000, 0.0000), Al at (0.3333, 0.6667, 0.2500), W at (0.3333, 0.6667, 0.7500) and O at (0.0051, 0.3516, 0.1336).